Material: Na5NiHO4
Method: DFT, GGA+U
State: relaxed

Calculated values
Calculated total energy (eV/atom): -4.175
Space group: Pnma
Size of the total moment (μB per cell): 15.41
Calculated density (g/cm³): 2.66

POSCAR file:
```
Na5NiHO4
1.0
9.8671 0.0000 0.0000
0.0000 10.1795 0.0000
0.0000 0.0000 11.8639
Na Ni H O
40 8 8 32
Direct
0.0091 0.0907 0.2141
0.0091 0.4093 0.2141
0.0700 0.0662 0.5902
0.0700 0.4338 0.5902
0.0801 0.7500 0.5545
0.1138 0.2500 0.0192
0.1344 0.5628 0.0086
0.1344 0.9372 0.0086
0.2189 0.5814 0.3205
0.2189 0.9186 0.3205
0.2811 0.0814 0.8205
0.2811 0.4186 0.8205
0.3656 0.0628 0.5086
0.3656 0.4372 0.5086
0.3862 0.7500 0.5192
0.4199 0.2500 0.0545
0.4300 0.5662 0.0902
0.4300 0.9338 0.0902
0.4909 0.5907 0.7141
0.4909 0.9093 0.7141
0.5091 0.0907 0.2859
0.5091 0.4093 0.2859
0.5700 0.0662 0.9098
0.5700 0.4338 0.9098
0.5801 0.7500 0.9455
0.6138 0.2500 0.4808
0.6344 0.5628 0.4914
0.6344 0.9372 0.4914
0.7189 0.5814 0.1795
0.7189 0.9186 0.1795
0.7811 0.0814 0.6795
0.7811 0.4186 0.6795
0.8656 0.0628 0.9914
0.8656 0.4372 0.9914
0.8862 0.7500 0.9808
0.9199 0.2500 0.4455
0.9300 0.5662 0.4098
0.9300 0.9338 0.4098
0.9909 0.5907 0.7859
0.9909 0.9093 0.7859
0.0044 0.2500 0.7975
0.2058 0.2500 0.3787
0.2942 0.7500 0.8787
0.4956 0.7500 0.2975
0.5044 0.2500 0.7025
0.7058 0.2500 0.1213
0.7942 0.7500 0.6213
0.9956 0.7500 0.2025
0.2411 0.6298 0.7009
0.2411 0.8702 0.7009
0.2589 0.1298 0.2009
0.2589 0.3702 0.2009
0.7411 0.6298 0.7991
0.7411 0.8702 0.7991
0.7589 0.1298 0.2991
0.7589 0.3702 0.2991
0.0591 0.0971 0.8735
0.0591 0.4029 0.8735
0.0595 0.7500 0.3516
0.1030 0.0962 0.3976
0.1030 0.4038 0.3976
0.1048 0.7500 0.8861
0.2488 0.0817 0.1299
0.2488 0.4183 0.1299
0.2512 0.5817 0.6299
0.2512 0.9183 0.6299
0.3952 0.2500 0.3861
0.3970 0.5962 0.8976
0.3970 0.9038 0.8976
0.4405 0.2500 0.8516
0.4409 0.5971 0.3735
0.4409 0.9029 0.3735
0.5591 0.0971 0.6265
0.5591 0.4029 0.6265
0.5595 0.7500 0.1484
0.6030 0.0962 0.1024
0.6030 0.4038 0.1024
0.6048 0.7500 0.6139
0.7488 0.0817 0.3701
0.7488 0.4183 0.3701
0.7512 0.5817 0.8701
0.7512 0.9183 0.8701
0.8952 0.2500 0.1139
0.8970 0.5962 0.6024
0.8970 0.9038 0.6024
0.9405 0.2500 0.6484
0.9409 0.5971 0.1265
0.9409 0.9029 0.1265
```